(1)
A relaxed structure of SiMoRu2Br. Source: Alexandria, functional GGA-PBE.

Cell: 4.5077 4.5077 4.8058 Å, 90.00 90.00 90.00°
With the nearest neighbours (Å) after each atom.
Space group P4/mmm (No. 123)
Unique sites:
Si (0.0000, 0.0000, 0.0000) (multiplicity 1)  2 Br 2.40
Mo (0.5000, 0.5000, 0.0000) (multiplicity 1)  4 Si 3.19, 8 Ru 3.29
Ru (0.0000, 0.5000, 0.5000) (multiplicity 2)  2 Br 2.25
Br (0.0000, 0.0000, 0.5000) (multiplicity 1)  4 Ru 2.25, 2 Si 2.40

Properties
raw formation energy: 1.889 eV/atom



(2)
A relaxed structure of Cd2AsPd. Source: Alexandria, functional GGA-PBE.

Cell: 4.0603 4.0603 19.8156 Å, 90.00 90.00 90.00°
With the nearest neighbours (Å) after each atom.
Space group I-42d (No. 122)
Unique sites:
Cd (0.2438, 0.2500, 0.1250) (multiplicity 8)  4 Cd 2.84-2.91, 2 Pd 2.85, 2 As 2.87
As (0.0000, 0.0000, 0.5000) (multiplicity 4)  4 Pd 2.87, 4 Cd 2.87
Pd (0.0000, 0.0000, 0.0000) (multiplicity 4)  4 Cd 2.85, 4 As 2.87

Properties
ΔE_f: 0.031 eV/atom



(3)
A relaxed structure of HfCuTe2I. Source: Alexandria, functional GGA-PBE.

Cell: 5.5580 5.5580 5.7133 Å, 90.00 90.00 90.00°
With the nearest neighbours (Å) after each atom.
Space group P4/mmm (No. 123)
Unique sites:
Hf (0.0000, 0.0000, 0.0000) (multiplicity 1)  4 Te 2.78, 2 I 2.86
Cu (0.5000, 0.5000, 0.5000) (multiplicity 1)  4 I 3.93, 8 Te 3.99
Te (0.0000, 0.5000, 0.0000) (multiplicity 2)  2 Hf 2.78
I (0.0000, 0.0000, 0.5000) (multiplicity 1)  2 Hf 2.86

Properties
raw formation energy: 0.209 eV/atom
relative energy among the computed polymorphs: 0.000 eV/f.u.



(4)
A relaxed structure of RbCrH2. Source: Alexandria, functional GGA-PBE.

Cell: 3.7281 3.8520 9.9347 Å, 86.09 86.26 81.14°
With the nearest neighbours (Å) after each atom.
Space group P1 (No. 1)
Unique sites:
Rb (0.0000, 0.0000, 0.0000) (multiplicity 1)  3 H 2.71-3.01
Rb (0.0979, 0.0981, 0.3546) (multiplicity 1)  7 H 2.75-3.02
Cr (0.3796, 0.3772, 0.6812) (multiplicity 1)  3 H 1.76-1.79, 1 Cr 1.95
Cr (0.7129, 0.7207, 0.6812) (multiplicity 1)  3 H 1.76-1.79, 1 Cr 1.95
H (0.0631, 0.5660, 0.5635) (multiplicity 1)  2 Cr 1.76
H (0.5299, 0.0312, 0.8006) (multiplicity 1)  2 Cr 1.77
H (0.5558, 0.5575, 0.1842) (multiplicity 1)  6 Rb 3.00-3.12
H (0.5652, 0.0678, 0.5597) (multiplicity 1)  2 Cr 1.79

Properties
relative energy among the computed polymorphs: 0.176 eV/f.u.



(5)
A relaxed structure of SiWBr. Source: Alexandria, functional GGA-PBE.

Cell: 2.9196 4.0300 8.5871 Å, 90.00 90.00 90.00°
With the nearest neighbours (Å) after each atom.
Space group Imm2 (No. 44)
Unique sites:
Si (0.0000, 0.0000, 0.0000) (multiplicity 2)  5 Br 2.71-2.95, 4 W 2.76, 2 Si 2.92
W (0.0000, 0.0000, 0.3599) (multiplicity 2)  5 Si 2.76-3.09, 5 Br 2.78-2.91, 2 W 2.92
Br (0.0000, 0.0000, 0.6839) (multiplicity 2)  5 Si 2.71-2.95, 5 W 2.78-2.91, 2 Br 2.92

Properties
raw formation energy: 0.959 eV/atom
relative energy among the computed polymorphs: 1.262 eV/f.u.



(6)
A relaxed structure of Hf2GaCo. Source: Alexandria, functional GGA-PBE.

Cell: 3.3335 3.3335 23.0887 Å, 90.00 90.00 120.00°
With the nearest neighbours (Å) after each atom.
Space group R-3m (No. 166, hexagonal axes)
Unique sites:
Hf (0.0000, 0.0000, 0.2387) (multiplicity 6)  3 Co 2.54
Ga (0.0000, 0.0000, 0.0000) (multiplicity 3)  6 Hf 2.91
Co (0.0000, 0.0000, 0.5000) (multiplicity 3)  6 Hf 2.54

Properties
ΔE_f: -0.170 eV/atom



(7)
A relaxed structure of MgAu2Br. Source: Alexandria, functional GGA-PBE.

Cell: 3.0632 3.0632 8.9015 Å, 90.00 90.00 90.00°
With the nearest neighbours (Å) after each atom.
Space group P4/mmm (No. 123)
Unique sites:
Mg (0.0000, 0.0000, 0.0000) (multiplicity 1)  8 Au 2.82, 4 Mg 3.06
Au (0.5000, 0.5000, 0.2025) (multiplicity 2)  4 Mg 2.82, 4 Au 3.06
Br (0.0000, 0.0000, 0.5000) (multiplicity 1)  4 Br 3.06, 8 Au 3.42

Properties
raw formation energy: -0.150 eV/atom
relative energy among the computed polymorphs: 1.506 eV/f.u.



(8)
A relaxed structure of PmHoEr2N4. Source: Alexandria, functional GGA-PBE.

Cell: 6.0304 3.4821 6.0311 Å, 90.00 109.43 90.00°
With the nearest neighbours (Å) after each atom.
Space group P2/m (No. 10)
Unique sites:
Pm (0.0000, 0.0000, 0.0000) (multiplicity 1)  6 N 2.50
Ho (0.5000, 0.5000, 0.0000) (multiplicity 1)  6 N 2.47
Er (0.0000, 0.5000, 0.5000) (multiplicity 1)  6 N 2.46
Er (0.5000, 0.0000, 0.5000) (multiplicity 1)  6 N 2.42-2.43
N (0.2529, 0.0000, 0.7454) (multiplicity 2)  3 Er 2.42-2.46, 2 Ho 2.47, 1 Pm 2.50
N (0.2573, 0.5000, 0.2582) (multiplicity 2)  3 Er 2.43-2.46, 1 Ho 2.47, 2 Pm 2.50

Properties
raw formation energy: -1.666 eV/atom